Record 1
The following is a PBE calculation of RbH3Pb after structural relaxation, from Alexandria.

- energy (eV/atom) = -2.862
- offset from the most stable computed form (eV per atom) = 0.0000

Geometry as POSCAR:
```
RbH3Pb
1.0
4.560 0.000 0.000
0.000 4.560 0.000
0.000 0.000 4.560
Rb H Pb
1 3 1
direct
0.000 0.000 0.000
0.000 0.500 0.500
0.500 0.000 0.500
0.500 0.500 0.000
0.500 0.500 0.500
```



Record 2
The following is a PBE calculation of RbLiScNb2 after structural relaxation, from Alexandria.

- energy (eV/atom) = -3.547
- formation energy (eV per atom) = 2.32

Geometry as POSCAR:
```
RbLiScNb2
1.0
4.910 0.000 0.000
0.000 4.910 0.000
0.000 0.000 5.065
Rb Li Sc Nb
1 1 1 2
direct
0.000 0.000 0.000
0.500 0.500 0.500
0.000 0.000 0.500
0.000 0.500 0.000
0.500 0.000 0.000
```



Record 3
The following is a PBE calculation of CaBeGaOs2 after structural relaxation, from Alexandria.

- energy (eV/atom) = -5.797
- formation energy (eV per atom) = 0.45

Geometry as POSCAR:
```
CaBeGaOs2
1.0
4.314 0.000 0.000
0.000 4.314 0.000
0.000 0.000 4.272
Ca Be Ga Os
1 1 1 2
direct
0.000 0.000 0.000
0.500 0.500 0.500
0.500 0.500 0.000
0.000 0.500 0.500
0.500 0.000 0.500
```



Record 4
The following is a PBE calculation of Ca2Be2O after structural relaxation, from Alexandria.

- energy (eV/atom) = -3.549
- formation energy from raw total energies (kJ/mol of atoms) = -26
- offset from the most stable computed form (eV per atom) = 0.3577

Geometry as POSCAR:
```
Ca2Be2O
1.0
6.359 0.000 0.000
0.000 6.359 0.000
0.000 0.000 5.071
Ca Be O
4 4 2
direct
0.199 0.301 0.000
0.301 0.801 0.000
0.699 0.199 0.000
0.801 0.699 0.000
0.113 0.613 0.500
0.387 0.113 0.500
0.613 0.887 0.500
0.887 0.387 0.500
0.000 0.000 0.000
0.500 0.500 0.000
```



> The lowest energy belongs to which entry?

CaBeGaOs2